DFT (PBE) results for a relaxed LiScTi crystal.

abc: 5.0331 5.0331 2.7682
angles: 90.00 90.00 120.00
Space group P-6m2 (No. 187)
Symmetry-distinct sites (fractional):
Li 0.0000 0.0000 0.0000
Sc 0.3333 0.6667 0.5000
Ti 0.6667 0.3333 0.5000

## Properties
N(E_F): 3.4 states/eV/cell
Formation energy from the elements: 0.456 eV per atom
Total magnetization: 2.00 μB per cell
Offset from the most stable computed form: 376.0 meV per atom